1.
A relaxed structure of AlCd2Pb, computed with PBE-GGA.

calculated volume: 24.26 Å³ per atom
energy: -2.142 eV per atom
crystal system: tetragonal
energy of formation: 0.18 eV/atom
symmetry: P4/mmm

Lattice parameters (Å, degrees): 4.5683 4.5683 4.6494 90.00 90.00 90.00
Last column: nearest neighbours and their distance in Å.
Fractional coordinates of all 4 atoms:
Al: 0.0000 0.0000 0.0000  4 Pb 3.23, 8 Cd 3.26
Cd: 0.0000 0.5000 0.5000  4 Cd 3.23, 4 Pb 3.26, 4 Al 3.26
Cd: 0.5000 0.0000 0.5000  4 Cd 3.23, 4 Pb 3.26, 4 Al 3.26
Pb: 0.5000 0.5000 0.0000  4 Al 3.23, 8 Cd 3.26



2.
A relaxed structure of LiB2C2, computed with PBE-GGA.

calculated volume: 9.31 Å³ per atom
energy: -6.767 eV per atom
crystal system: monoclinic
energy of formation: -0.02 eV/atom
symmetry: P2/m

Lattice parameters (Å, degrees): 4.6900 5.4207 7.3237 90.00 90.17 90.00
Last column: nearest neighbours and their distance in Å.
Fractional coordinates of all 20 atoms:
Li: 0.0000 0.0000 0.0000  6 C 2.31-2.38, 6 B 2.37-2.39
Li: 0.0000 0.0000 0.5000  6 B 2.44-2.46, 6 C 2.45-2.46
Li: 0.5000 0.2548 0.0000  6 C 2.33-2.36, 6 B 2.36-2.40
Li: 0.5000 0.7452 0.0000  6 C 2.33-2.36, 6 B 2.36-2.40
B: 0.1644 0.2525 0.7586  3 C 1.55-1.57
B: 0.1644 0.7475 0.7586  3 C 1.55-1.57
B: 0.3328 0.5000 0.2495  3 C 1.56-1.57
B: 0.3370 0.0000 0.2461  3 C 1.56-1.59
B: 0.6630 0.0000 0.7539  3 C 1.56-1.59
B: 0.6672 0.5000 0.7505  3 C 1.56-1.57
B: 0.8356 0.2525 0.2414  3 C 1.55-1.57
B: 0.8356 0.7475 0.2414  3 C 1.55-1.57
C: 0.1712 0.2487 0.2441  3 B 1.56-1.57
C: 0.1712 0.7513 0.2441  3 B 1.56-1.57
C: 0.3254 0.0000 0.7634  3 B 1.56-1.59
C: 0.3318 0.5000 0.7610  3 B 1.55-1.57
C: 0.6682 0.5000 0.2390  3 B 1.55-1.57
C: 0.6746 0.0000 0.2366  3 B 1.56-1.59
C: 0.8288 0.2487 0.7559  3 B 1.56-1.57
C: 0.8288 0.7513 0.7559  3 B 1.56-1.57



no.,N(E_F) (states/eV per cell)
1,1.6
2,4.8